Material: CrFePdN2
Method: DFT, PBE-GGA
State: relaxed

Values from the calculation:
N(E_F): 1.833 states/eV per atom
Energy relative to the elements, uncorrected: 6.39 eV/f.u.

Cell lengths 3.5573, 3.5573, 4.9786 Å; angles 90.00, 90.00, 90.00 degrees
Element x y z (fractional)
Cr  0.0000  0.0000  0.0000
Fe  0.5000  0.5000  0.5000
Pd  0.5000  0.5000  0.0000
N  0.0000  0.5000  0.5000
N  0.5000  0.0000  0.5000

=====

Material: CsPa3S9
Method: DFT, PBE-GGA
State: relaxed

Values from the calculation:
N(E_F): 0.726 states/eV per atom
Energy relative to the elements, uncorrected: -15.90 eV/f.u.

Cell lengths 9.9954, 9.9954, 5.2350 Å; angles 90.00, 90.00, 120.00 degrees
Element x y z (fractional)
Cs  0.0000  0.0000  0.0000
Pa  0.0000  0.5000  0.5000
Pa  0.5000  0.0000  0.5000
Pa  0.5000  0.5000  0.5000
S  0.0000  0.5000  0.0000
S  0.2038  0.4075  0.5000
S  0.2038  0.7962  0.5000
S  0.4075  0.2038  0.5000
S  0.5000  0.0000  0.0000
S  0.5000  0.5000  0.0000
S  0.5925  0.7962  0.5000
S  0.7962  0.2038  0.5000
S  0.7962  0.5925  0.5000

=====

Material: HoEr2C
Method: DFT, PBE-GGA
State: relaxed

Values from the calculation:
N(E_F): 1.163 states/eV per atom
Energy relative to the elements: -9 kJ/mol of atoms

Cell lengths 9.7463, 9.7463, 9.7463 Å; angles 20.70, 20.70, 20.70 degrees
Element x y z (fractional)
Ho  0.0000  0.0000  0.0000
Er  0.1203  0.1203  0.1203
Er  0.8797  0.8797  0.8797
C  0.5000  0.5000  0.5000

=====

Material: SnSbPd14
Method: DFT, PBE-GGA
State: relaxed

Values from the calculation:
N(E_F): 1.248 states/eV per atom
Energy relative to the elements, uncorrected: -3.70 eV/f.u.

Cell lengths 5.7725, 5.7725, 7.6551 Å; angles 90.00, 90.00, 90.00 degrees
Element x y z (fractional)
Sn  0.0000  0.0000  0.0000
Sb  0.5000  0.5000  0.0000
Pd  0.0000  0.0000  0.5000
Pd  0.0000  0.5000  0.0000
Pd  0.0000  0.5000  0.5000
Pd  0.2505  0.2505  0.2496
Pd  0.2505  0.2505  0.7504
Pd  0.2505  0.7495  0.2496
Pd  0.2505  0.7495  0.7504
Pd  0.5000  0.0000  0.0000
Pd  0.5000  0.0000  0.5000
Pd  0.5000  0.5000  0.5000
Pd  0.7495  0.2505  0.2496
Pd  0.7495  0.2505  0.7504
Pd  0.7495  0.7495  0.2496
Pd  0.7495  0.7495  0.7504

=====

Material: Zr2Cr4Ni
Method: DFT, PBE-GGA
State: relaxed

Values from the calculation:
N(E_F): 1.082 states/eV per atom
Energy relative to the elements: 86 kJ/mol of atoms

Cell lengths 7.6141, 7.6141, 7.6141 Å; angles 146.82, 146.82, 47.62 degrees
Element x y z (fractional)
Zr  0.1136  0.1136  0.0000
Zr  0.8864  0.8864  0.0000
Cr  0.0000  0.5000  0.5000
Cr  0.3252  0.3252  0.0000
Cr  0.5000  0.0000  0.5000
Cr  0.6748  0.6748  0.0000
Ni  0.5000  0.5000  0.0000

=====

Material: Pr2Er5
Method: DFT, PBE-GGA
State: relaxed

Values from the calculation:
N(E_F): 1.654 states/eV per atom
Energy relative to the elements: 1 kJ/mol of atoms

Cell lengths 8.4919, 8.4919, 9.2330 Å; angles 95.49, 95.49, 43.46 degrees
Element x y z (fractional)
Pr  0.0953  0.7580  0.8923
Pr  0.2420  0.9047  0.6077
Pr  0.7580  0.0953  0.3923
Pr  0.9047  0.2420  0.1077
Er  0.0466  0.3818  0.8212
Er  0.1901  0.5183  0.5344
Er  0.3352  0.6648  0.2500
Er  0.3818  0.0466  0.3212
Er  0.4817  0.8099  0.9656
Er  0.5183  0.1901  0.0344
Er  0.6182  0.9534  0.6788
Er  0.6648  0.3352  0.7500
Er  0.8099  0.4817  0.4656
Er  0.9534  0.6182  0.1788

=====

Material: La3Gd5H12
Method: DFT, PBE-GGA
State: relaxed

Values from the calculation:
N(E_F): 0.602 states/eV per atom

Cell lengths 11.7468, 11.7468, 11.7468 Å; angles 109.47, 109.47, 109.47 degrees
Element x y z (fractional)
La  0.1250  0.2500  0.3750
La  0.1250  0.3750  0.7500
La  0.2500  0.3750  0.1250
La  0.2500  0.8750  0.6250
La  0.3750  0.1250  0.2500
La  0.3750  0.7500  0.1250
La  0.6250  0.2500  0.8750
La  0.6250  0.8750  0.7500
La  0.7500  0.1250  0.3750
La  0.7500  0.6250  0.8750
La  0.8750  0.6250  0.2500
La  0.8750  0.7500  0.6250
Gd  0.0000  0.0000  0.0000
Gd  0.0000  0.0000  0.5000
Gd  0.0000  0.5000  0.0000
Gd  0.0000  0.5000  0.5000
Gd  0.1250  0.7500  0.8750
Gd  0.1250  0.8750  0.2500
Gd  0.2500  0.1250  0.8750
Gd  0.2500  0.6250  0.3750
Gd  0.3750  0.2500  0.6250
Gd  0.3750  0.6250  0.7500
Gd  0.5000  0.0000  0.0000
Gd  0.5000  0.0000  0.5000
Gd  0.5000  0.5000  0.0000
Gd  0.5000  0.5000  0.5000
Gd  0.6250  0.3750  0.2500
Gd  0.6250  0.7500  0.3750
Gd  0.7500  0.3750  0.6250
Gd  0.7500  0.8750  0.1250
Gd  0.8750  0.1250  0.7500
Gd  0.8750  0.2500  0.1250
H  0.0597  0.2211  0.1443
H  0.0597  0.3386  0.9154
H  0.0769  0.7211  0.6614
H  0.0769  0.8557  0.4154
H  0.0846  0.6443  0.4231
H  0.0846  0.9403  0.6614
H  0.1443  0.0597  0.2211
H  0.1443  0.5846  0.9231
H  0.1614  0.2211  0.5769
H  0.1614  0.4403  0.5846
H  0.2211  0.1443  0.0597
H  0.2211  0.5769  0.1614
H  0.2789  0.3386  0.9231
H  0.2789  0.4403  0.3557
H  0.3386  0.9154  0.0597
H  0.3386  0.9231  0.2789
H  0.3557  0.2789  0.4403
H  0.3557  0.5769  0.9154
H  0.4154  0.0769  0.8557
H  0.4154  0.8386  0.5597
H  0.4231  0.0846  0.6443
H  0.4231  0.8386  0.7789
H  0.4403  0.3557  0.2789
H  0.4403  0.5846  0.1614
H  0.5597  0.4154  0.8386
H  0.5597  0.6443  0.7211
H  0.5769  0.1614  0.2211
H  0.5769  0.9154  0.3557
H  0.5846  0.1614  0.4403
H  0.5846  0.9231  0.1443
H  0.6443  0.4231  0.0846
H  0.6443  0.7211  0.5597
H  0.6614  0.0769  0.7211
H  0.6614  0.0846  0.9403
H  0.7211  0.5597  0.6443
H  0.7211  0.6614  0.0769
H  0.7789  0.4231  0.8386
H  0.7789  0.8557  0.9403
H  0.8386  0.5597  0.4154
H  0.8386  0.7789  0.4231
H  0.8557  0.4154  0.0769
H  0.8557  0.9403  0.7789
H  0.9154  0.0597  0.3386
H  0.9154  0.3557  0.5769
H  0.9231  0.1443  0.5846
H  0.9231  0.2789  0.3386
H  0.9403  0.6614  0.0846
H  0.9403  0.7789  0.8557

=====

Material: Hf2ZrNbC4
Method: DFT, PBE-GGA
State: relaxed

Values from the calculation:
N(E_F): 0.114 states/eV per atom
Energy relative to the elements: -78 kJ/mol of atoms

Cell lengths 5.6604, 3.2770, 5.6633 Å; angles 90.00, 109.39, 90.00 degrees
Element x y z (fractional)
Hf  0.0000  0.0000  0.0000
Hf  0.0000  0.5000  0.5000
Zr  0.5000  0.0000  0.5000
Nb  0.5000  0.5000  0.0000
C  0.2496  0.5000  0.2444
C  0.2529  0.0000  0.7559
C  0.7471  0.0000  0.2441
C  0.7504  0.5000  0.7556

=====

Material: PrSm8Tl6
Method: DFT, PBE-GGA
State: relaxed

Values from the calculation:
N(E_F): 1.603 states/eV per atom
Energy relative to the elements: -15 kJ/mol of atoms

Cell lengths 8.5045, 8.5045, 8.5045 Å; angles 66.41, 66.41, 66.41 degrees
Element x y z (fractional)
Pr  0.0000  0.0000  0.0000
Sm  0.1119  0.7794  0.4422
Sm  0.2206  0.5578  0.8881
Sm  0.3326  0.3326  0.3326
Sm  0.4422  0.1119  0.7794
Sm  0.5578  0.8881  0.2206
Sm  0.6674  0.6674  0.6674
Sm  0.7794  0.4422  0.1119
Sm  0.8881  0.2206  0.5578
Tl  0.0606  0.3978  0.7229
Tl  0.2771  0.9394  0.6022
Tl  0.3978  0.7229  0.0606
Tl  0.6022  0.2771  0.9394
Tl  0.7229  0.0606  0.3978
Tl  0.9394  0.6022  0.2771

=====

Material: POs
Method: DFT, PBE-GGA
State: relaxed

Values from the calculation:
N(E_F): 0.750 states/eV per atom
Energy relative to the elements: 9 kJ/mol of atoms

Cell lengths 4.0018, 4.0018, 5.3406 Å; angles 90.00, 90.00, 90.00 degrees
Element x y z (fractional)
P  0.2500  0.2500  0.2208
P  0.7500  0.7500  0.7792
Os  0.2500  0.7500  0.0000
Os  0.7500  0.2500  0.0000

=====

Material: Pr2Dy5Mg
Method: DFT, PBE-GGA
State: relaxed

Values from the calculation:
N(E_F): 1.005 states/eV per atom
E above lowest polymorph: 0.0 meV per atom
Energy relative to the elements: 1 kJ/mol of atoms

Cell lengths 7.1195, 7.1195, 7.1195 Å; angles 120.64, 120.64, 88.89 degrees
Element x y z (fractional)
Pr  0.0000  0.5000  0.5000
Pr  0.5000  0.0000  0.5000
Dy  0.0000  0.0000  0.0000
Dy  0.0000  0.0000  0.5000
Dy  0.0000  0.5000  0.0000
Dy  0.5000  0.0000  0.0000
Dy  0.5000  0.5000  0.5000
Mg  0.5000  0.5000  0.0000

=====

Material: SrTlHgAu
Method: DFT, PBE-GGA
State: relaxed

Values from the calculation:
N(E_F): 0.328 states/eV per atom
E above lowest polymorph: 0.0 meV per atom
Energy relative to the elements: -42 kJ/mol of atoms

Cell lengths 5.3482, 5.3482, 5.3482 Å; angles 60.00, 60.00, 60.00 degrees
Element x y z (fractional)
Sr  0.0000  0.0000  0.0000
Tl  0.5000  0.5000  0.5000
Hg  0.7500  0.7500  0.7500
Au  0.2500  0.2500  0.2500

=====

Material: Sr3CaRh
Method: DFT, PBE-GGA
State: relaxed

Values from the calculation:
N(E_F): 0.757 states/eV per atom
E above lowest polymorph: 8.2 meV per atom
Energy relative to the elements: -19 kJ/mol of atoms

Cell lengths 6.8921, 7.2188, 8.4001 Å; angles 90.15, 90.82, 91.10 degrees
Element x y z (fractional)
Sr  0.0000  0.0000  0.0000
Sr  0.0020  0.5085  0.2444
Sr  0.0126  0.5039  0.7479
Sr  0.4863  0.8404  0.7437
Sr  0.5053  0.3427  0.0008
Sr  0.5089  0.3330  0.4848
Ca  0.4963  0.8465  0.2351
Ca  0.9793  0.0074  0.4823
Rh  0.2572  0.6732  0.9962
Rh  0.7511  0.1614  0.2512

=====

Material: Tl3In5Cl12
Method: DFT, PBE-GGA
State: relaxed

Values from the calculation:
N(E_F): 0.551 states/eV per atom
Energy relative to the elements, uncorrected: -18.18 eV/f.u.

Cell lengths 15.4830, 15.4830, 15.4830 Å; angles 109.47, 109.47, 109.47 degrees
Element x y z (fractional)
Tl  0.1250  0.2500  0.3750
Tl  0.1250  0.3750  0.7500
Tl  0.2500  0.3750  0.1250
Tl  0.2500  0.8750  0.6250
Tl  0.3750  0.1250  0.2500
Tl  0.3750  0.7500  0.1250
Tl  0.6250  0.2500  0.8750
Tl  0.6250  0.8750  0.7500
Tl  0.7500  0.1250  0.3750
Tl  0.7500  0.6250  0.8750
Tl  0.8750  0.6250  0.2500
Tl  0.8750  0.7500  0.6250
In  0.0000  0.0000  0.0000
In  0.0000  0.0000  0.5000
In  0.0000  0.5000  0.0000
In  0.0000  0.5000  0.5000
In  0.1250  0.7500  0.8750
In  0.1250  0.8750  0.2500
In  0.2500  0.1250  0.8750
In  0.2500  0.6250  0.3750
In  0.3750  0.2500  0.6250
In  0.3750  0.6250  0.7500
In  0.5000  0.0000  0.0000
In  0.5000  0.0000  0.5000
In  0.5000  0.5000  0.0000
In  0.5000  0.5000  0.5000
In  0.6250  0.3750  0.2500
In  0.6250  0.7500  0.3750
In  0.7500  0.3750  0.6250
In  0.7500  0.8750  0.1250
In  0.8750  0.1250  0.7500
In  0.8750  0.2500  0.1250
Cl  0.0278  0.2219  0.1250
Cl  0.0278  0.3059  0.9028
Cl  0.0972  0.6250  0.4031
Cl  0.0969  0.7219  0.6941
Cl  0.0969  0.8750  0.4028
Cl  0.0972  0.9722  0.6941
Cl  0.1250  0.0278  0.2219
Cl  0.1250  0.5972  0.9031
Cl  0.1941  0.2219  0.5969
Cl  0.1941  0.4722  0.5972
Cl  0.2219  0.1250  0.0278
Cl  0.2219  0.5969  0.1941
Cl  0.2781  0.3059  0.9031
Cl  0.2781  0.4722  0.3750
Cl  0.3059  0.9028  0.0278
Cl  0.3059  0.9031  0.2781
Cl  0.3750  0.2781  0.4722
Cl  0.3750  0.5969  0.9028
Cl  0.4031  0.0972  0.6250
Cl  0.4028  0.0969  0.8750
Cl  0.4028  0.8059  0.5278
Cl  0.4031  0.8059  0.7781
Cl  0.4722  0.3750  0.2781
Cl  0.4722  0.5972  0.1941
Cl  0.5278  0.4028  0.8059
Cl  0.5278  0.6250  0.7219
Cl  0.5969  0.1941  0.2219
Cl  0.5972  0.1941  0.4722
Cl  0.5972  0.9031  0.1250
Cl  0.5969  0.9028  0.3750
Cl  0.6250  0.4031  0.0972
Cl  0.6250  0.7219  0.5278
Cl  0.6941  0.0969  0.7219
Cl  0.6941  0.0972  0.9722
Cl  0.7219  0.5278  0.6250
Cl  0.7219  0.6941  0.0969
Cl  0.7781  0.4031  0.8059
Cl  0.7781  0.8750  0.9722
Cl  0.8059  0.5278  0.4028
Cl  0.8059  0.7781  0.4031
Cl  0.8750  0.4028  0.0969
Cl  0.8750  0.9722  0.7781
Cl  0.9028  0.0278  0.3059
Cl  0.9031  0.1250  0.5972
Cl  0.9031  0.2781  0.3059
Cl  0.9028  0.3750  0.5969
Cl  0.9722  0.6941  0.0972
Cl  0.9722  0.7781  0.8750

=====

| no. | total energy (eV per cell) |
| --- | --- |
| 1 | -33.54 |
| 2 | -82.38 |
| 3 | -23.30 |
| 4 | -84.53 |
| 5 | -55.11 |
| 6 | -64.55 |
| 7 | -539.97 |
| 8 | -81.91 |
| 9 | -59.07 |
| 10 | -32.91 |
| 11 | -34.04 |
| 12 | -9.36 |
| 13 | -30.72 |
| 14 | -244.52 |